w) Crystalline Be3PdRu at its relaxed geometry, computed with PBE-GGA.

abc: 4.046 4.046 4.046
angles: 90.00 90.00 90.00
Element x y z (fractional)
Be  0.000  0.500  0.000
Be  0.000  0.000  0.500
Be  0.500  0.000  0.000
Ru  0.500  0.500  0.500
Pd  0.000  0.000  0.000

Results
Magnetization ... 0.00 μB per cell
Calculated density ... 5.88 g/cm³

---

x) Crystalline Be3PdRu at its relaxed geometry, computed with PBE-GGA.

abc: 4.069 4.069 4.069
angles: 90.00 90.00 90.00
Element x y z (fractional)
Pd  0.500  0.500  0.500
Be  0.500  0.000  0.000
Be  0.000  0.000  0.500
Be  0.000  0.500  0.000
Ru  0.000  0.000  0.000

Results
Magnetization ... 0.00 μB per cell
Calculated density ... 5.78 g/cm³

---

Most stable structure - x); separation to the second - 0.105 eV/atom.